Entry 1:
Compound: CaPm2Pb9
Source: the Alexandria database
Functional: PBE
Structure: optimized geometry

Output
**DFT formation energy**: -0.349 eV per atom
**Total magnetization**: 0.00 μB per formula unit

Unit cell a=4.9247 b=4.9247 c=14.7655 alpha=90.00 beta=90.00 gamma=90.00
Space group P4/mmm (No. 123)
Unique sites:
Ca 0.0000 0.0000 0.0000 [1 per cell]
Pm 0.0000 0.0000 0.3370 [2 per cell]
Pb 0.0000 0.5000 0.1663 [4 per cell]
Pb 0.0000 0.5000 0.5000 [2 per cell]
Pb 0.5000 0.5000 0.0000 [1 per cell]
Pb 0.5000 0.5000 0.3328 [2 per cell]

Entry 2:
Compound: CeAsH
Source: the Alexandria database
Functional: PBE
Structure: optimized geometry

Output
**Total magnetization**: 0.35 μB per formula unit
**ΔE to the lowest computed polymorph**: 0.0846 eV/atom

Unit cell a=4.1764 b=4.1764 c=21.1566 alpha=90.00 beta=90.00 gamma=120.00
Space group R-3m (No. 166, hexagonal axes)
Unique sites:
Ce 0.0000 0.0000 0.2486 [6 per cell]
As 0.0000 0.0000 0.0000 [3 per cell]
As 0.0000 0.0000 0.5000 [3 per cell]
H 0.0000 0.0000 0.0923 [6 per cell]

Entry 3:
Compound: SrLi3Al3
Source: the Alexandria database
Functional: PBE
Structure: optimized geometry

Output
**DFT formation energy**: 0.454 eV per atom
**Total magnetization**: 0.00 μB per formula unit

Unit cell a=12.3309 b=12.3309 c=12.3309 alpha=90.00 beta=90.00 gamma=90.00
Space group Fm-3m (No. 225)
Unique sites:
Sr 0.2500 0.2500 0.2500 [8 per cell]
Li 0.0000 0.0000 0.1487 [24 per cell]
Al 0.0000 0.0000 0.3475 [24 per cell]

Entry 4:
Compound: Sc2SiRu
Source: the Alexandria database
Functional: PBE
Structure: optimized geometry

Output
**Formation energy without anion corrections**: -0.639 eV/atom
**Total magnetization**: 0.00 μB per formula unit

Unit cell a=3.3230 b=3.3230 c=6.1716 alpha=90.00 beta=90.00 gamma=90.00
Space group P4/mmm (No. 123)
Unique sites:
Sc 0.0000 0.0000 0.2444 [2 per cell]
Si 0.5000 0.5000 0.5000 [1 per cell]
Ru 0.5000 0.5000 0.0000 [1 per cell]

Entry 5:
Compound: ErTm2Zn2Ge2
Source: the Alexandria database
Functional: PBE
Structure: optimized geometry

Output
**DFT formation energy**: -0.403 eV per atom
**Total magnetization**: 0.00 μB per formula unit

Unit cell a=4.1067 b=4.1067 c=32.7734 alpha=90.00 beta=90.00 gamma=120.00
Space group R-3m (No. 166, hexagonal axes)
Unique sites:
Er 0.0000 0.0000 0.0000 [3 per cell]
Tm 0.0000 0.0000 0.1230 [6 per cell]
Zn 0.0000 0.0000 0.4011 [6 per cell]
Ge 0.0000 0.0000 0.2760 [6 per cell]

Entry 6:
Compound: LaMnBPd2
Source: the Alexandria database
Functional: PBE
Structure: optimized geometry

Output
**DFT formation energy**: 0.362 eV per atom
**Total magnetization**: 0.04 μB per formula unit

Unit cell a=4.0968 b=4.0968 c=5.2480 alpha=90.00 beta=90.00 gamma=90.00
Space group P4/mmm (No. 123)
Unique sites:
La 0.0000 0.0000 0.0000 [1 per cell]
Mn 0.5000 0.5000 0.0000 [1 per cell]
B 0.0000 0.0000 0.5000 [1 per cell]
Pd 0.0000 0.5000 0.5000 [2 per cell]

Entry 7:
Compound: BaSiPb2
Source: the Alexandria database
Functional: PBE
Structure: optimized geometry

Output
**Formation energy without anion corrections**: -0.125 eV/atom
**Total magnetization**: 0.00 μB per formula unit

Unit cell a=4.2756 b=5.1715 c=11.8254 alpha=90.00 beta=90.00 gamma=90.00
Space group Imm2 (No. 44)
Unique sites:
Ba 0.0000 0.0000 0.0000 [2 per cell]
Si 0.0000 0.5000 0.2772 [2 per cell]
Pb 0.0000 0.0000 0.6189 [2 per cell]
Pb 0.0000 0.5000 0.7805 [2 per cell]

Entry 8:
Compound: Cr2CuMo
Source: the Alexandria database
Functional: PBE
Structure: optimized geometry

Output
**DFT formation energy**: 0.363 eV per atom
**Total magnetization**: 0.00 μB per formula unit
**ΔE to the lowest computed polymorph**: 0.1688 eV/atom

Unit cell a=2.5022 b=2.5022 c=8.3537 alpha=90.00 beta=90.00 gamma=90.00
Space group P4/mmm (No. 123)
Unique sites:
Cr 0.0000 0.0000 0.2334 [2 per cell]
Cu 0.5000 0.5000 0.0000 [1 per cell]
Mo 0.5000 0.5000 0.5000 [1 per cell]

Q: Which value of total magnetization does entry 2 give?
A: 0.35 μB per formula unit

Q: The highest total magnetization belongs to which entry?
A: CeAsH

Q: Look up the total magnetization of the second one.
A: 0.35 μB per formula unit

Q: Look up the total magnetization of the eighth one.
A: 0.00 μB per formula unit